i.
DFT (PBE) results for a relaxed structure of Zn2CdSb2.

```
data_Zn2CdSb2
_cell_length_a 4.5502
_cell_length_b 4.5502
_cell_length_c 12.0033
_cell_angle_alpha 90.00
_cell_angle_beta 90.00
_cell_angle_gamma 90.00
_symmetry_space_group_name_H-M 'I 4/m m m'
_symmetry_Int_Tables_number 139
_symmetry_space_group_name_Hall '-I 4 2'
loop_
_atom_site_label
_atom_site_type_symbol
_atom_site_fract_x
_atom_site_fract_y
_atom_site_fract_z
Zn1 Zn 0.0000 0.0000 0.1003
Cd1 Cd 0.0000 0.0000 0.5000
Sb1 Sb 0.0000 0.5000 0.2500
```

---

ii.
DFT (PBE) results for a relaxed structure of Zn2CdSb2.

```
data_Zn2CdSb2
_cell_length_a 8.4190
_cell_length_b 8.4190
_cell_length_c 3.3150
_cell_angle_alpha 90.00
_cell_angle_beta 90.00
_cell_angle_gamma 90.00
_symmetry_space_group_name_H-M 'P 4/m b m'
_symmetry_Int_Tables_number 127
_symmetry_space_group_name_Hall '-P 4 2ab'
loop_
_atom_site_label
_atom_site_type_symbol
_atom_site_fract_x
_atom_site_fract_y
_atom_site_fract_z
Zn1 Zn 0.1234 0.3766 0.0000
Cd1 Cd 0.0000 0.0000 0.5000
Sb1 Sb 0.1720 0.6720 0.5000
```

---

Sorted by energy, starting with the most stable: ii, i.

---

i.
DFT (PBE) results for a relaxed structure of Zr2CdSb2.

```
data_Zr2CdSb2
_cell_length_a 7.9495
_cell_length_b 7.9495
_cell_length_c 3.8131
_cell_angle_alpha 90.00
_cell_angle_beta 90.00
_cell_angle_gamma 90.00
_symmetry_space_group_name_H-M 'P 4/m b m'
_symmetry_Int_Tables_number 127
_symmetry_space_group_name_Hall '-P 4 2ab'
loop_
_atom_site_label
_atom_site_type_symbol
_atom_site_fract_x
_atom_site_fract_y
_atom_site_fract_z
Zr1 Zr 0.1413 0.3587 0.0000
Cd1 Cd 0.0000 0.0000 0.0000
Sb1 Sb 0.1537 0.6537 0.5000
```

---

ii.
DFT (PBE) results for a relaxed structure of Zr2CdSb2.

```
data_Zr2CdSb2
_cell_length_a 8.0220
_cell_length_b 8.0220
_cell_length_c 3.7209
_cell_angle_alpha 90.00
_cell_angle_beta 90.00
_cell_angle_gamma 90.00
_symmetry_space_group_name_H-M 'P 4/m b m'
_symmetry_Int_Tables_number 127
_symmetry_space_group_name_Hall '-P 4 2ab'
loop_
_atom_site_label
_atom_site_type_symbol
_atom_site_fract_x
_atom_site_fract_y
_atom_site_fract_z
Zr1 Zr 0.1389 0.3611 0.0000
Cd1 Cd 0.0000 0.0000 0.5000
Sb1 Sb 0.1520 0.6520 0.5000
```

---

Sorted by energy, starting with the most stable: i, ii.

---

i.
DFT (PBE) results for a relaxed structure of Sc3Cd.

```
data_Sc3Cd
_cell_length_a 7.1791
_cell_length_b 7.1791
_cell_length_c 7.1791
_cell_angle_alpha 90.00
_cell_angle_beta 90.00
_cell_angle_gamma 90.00
_symmetry_space_group_name_H-M 'F m -3 m'
_symmetry_Int_Tables_number 225
_symmetry_space_group_name_Hall '-F 4 2 3'
loop_
_atom_site_label
_atom_site_type_symbol
_atom_site_fract_x
_atom_site_fract_y
_atom_site_fract_z
Sc1 Sc 0.0000 0.0000 0.0000
Sc2 Sc 0.2500 0.2500 0.2500
Cd1 Cd 0.0000 0.0000 0.5000
```

---

ii.
DFT (PBE) results for a relaxed structure of Sc3Cd.

```
data_Sc3Cd
_cell_length_a 5.4053
_cell_length_b 5.4053
_cell_length_c 5.4053
_cell_angle_alpha 90.00
_cell_angle_beta 90.00
_cell_angle_gamma 90.00
_symmetry_space_group_name_H-M 'P m -3 m'
_symmetry_Int_Tables_number 221
_symmetry_space_group_name_Hall '-P 4 2 3'
loop_
_atom_site_label
_atom_site_type_symbol
_atom_site_fract_x
_atom_site_fract_y
_atom_site_fract_z
Sc1 Sc 0.0000 0.0000 0.5000
Cd1 Cd 0.0000 0.0000 0.0000
```

---

Sorted by energy, starting with the most stable: i, ii.

---

i.
DFT (PBE) results for a relaxed structure of Sc3Cd.

```
data_Sc3Cd
_cell_length_a 4.4918
_cell_length_b 4.4918
_cell_length_c 9.1805
_cell_angle_alpha 90.00
_cell_angle_beta 90.00
_cell_angle_gamma 90.00
_symmetry_space_group_name_H-M 'I 4/m m m'
_symmetry_Int_Tables_number 139
_symmetry_space_group_name_Hall '-I 4 2'
loop_
_atom_site_label
_atom_site_type_symbol
_atom_site_fract_x
_atom_site_fract_y
_atom_site_fract_z
Sc1 Sc 0.0000 0.0000 0.0000
Sc2 Sc 0.0000 0.5000 0.2500
Cd1 Cd 0.0000 0.0000 0.5000
```

---

ii.
DFT (PBE) results for a relaxed structure of Sc3Cd.

```
data_Sc3Cd
_cell_length_a 3.2970
_cell_length_b 4.4703
_cell_length_c 6.3423
_cell_angle_alpha 90.00
_cell_angle_beta 90.00
_cell_angle_gamma 90.00
_symmetry_space_group_name_H-M 'P m m m'
_symmetry_Int_Tables_number 47
loop_
_symmetry_equiv_pos_as_xyz
'x,y,z'
'-x,-y,-z'
'-x,-y,z'
'x,y,-z'
'x,-y,-z'
'-x,y,z'
'-x,y,-z'
'x,-y,z'
loop_
_atom_site_label
_atom_site_type_symbol
_atom_site_fract_x
_atom_site_fract_y
_atom_site_fract_z
Sc1 Sc 0.0000 0.0000 0.0000
Sc2 Sc 0.5000 0.5000 0.2486
Cd1 Cd 0.0000 0.0000 0.5000
```

---

iii.
DFT (PBE) results for a relaxed structure of Sc3Cd.

```
data_Sc3Cd
_cell_length_a 3.2817
_cell_length_b 3.2817
_cell_length_c 10.2748
_cell_angle_alpha 90.00
_cell_angle_beta 90.00
_cell_angle_gamma 120.00
_symmetry_space_group_name_H-M 'P -6 m 2'
_symmetry_Int_Tables_number 187
_symmetry_space_group_name_Hall 'P -6 2'
loop_
_atom_site_label
_atom_site_type_symbol
_atom_site_fract_x
_atom_site_fract_y
_atom_site_fract_z
Sc1 Sc 0.0000 0.0000 0.0000
Sc2 Sc 0.3333 0.6667 0.2509
Cd1 Cd 0.0000 0.0000 0.5000
```

---

Sorted by energy, starting with the most stable: ii, i, iii.

---

i.
DFT (PBE) results for a relaxed structure of Sc5Cd.

```
data_Sc5Cd
_cell_length_a 5.6389
_cell_length_b 5.6389
_cell_length_c 5.1925
_cell_angle_alpha 90.00
_cell_angle_beta 90.00
_cell_angle_gamma 120.00
_symmetry_space_group_name_H-M 'P -6 2 m'
_symmetry_Int_Tables_number 189
_symmetry_space_group_name_Hall 'P -6 -2'
loop_
_atom_site_label
_atom_site_type_symbol
_atom_site_fract_x
_atom_site_fract_y
_atom_site_fract_z
Sc1 Sc 0.0000 0.6778 0.0000
Sc2 Sc 0.3333 0.6667 0.5000
Cd1 Cd 0.0000 0.0000 0.5000
```

---

ii.
DFT (PBE) results for a relaxed structure of Sc5Cd.

```
data_Sc5Cd
_cell_length_a 10.8936
_cell_length_b 4.9418
_cell_length_c 6.2485
_cell_angle_alpha 90.00
_cell_angle_beta 122.29
_cell_angle_gamma 90.00
_symmetry_space_group_name_H-M 'C 1 2/m 1'
_symmetry_Int_Tables_number 12
loop_
_symmetry_equiv_pos_as_xyz
'x,y,z'
'-x,-y,-z'
'-x,y,-z'
'x,-y,z'
'x+1/2,y+1/2,z'
'-x+1/2,-y+1/2,-z'
'-x+1/2,y+1/2,-z'
'x+1/2,-y+1/2,z'
loop_
_atom_site_label
_atom_site_type_symbol
_atom_site_fract_x
_atom_site_fract_y
_atom_site_fract_z
Sc1 Sc 0.0000 0.0000 0.0000
Sc2 Sc 0.1522 0.5000 0.8110
Sc3 Sc 0.1906 0.5000 0.3366
Cd1 Cd 0.0000 0.0000 0.5000
```

---

iii.
DFT (PBE) results for a relaxed structure of Sc5Cd.

```
data_Sc5Cd
_cell_length_a 5.0863
_cell_length_b 3.3344
_cell_length_c 16.7862
_cell_angle_alpha 90.00
_cell_angle_beta 90.00
_cell_angle_gamma 90.00
_symmetry_space_group_name_H-M 'A m m 2'
_symmetry_Int_Tables_number 38
loop_
_symmetry_equiv_pos_as_xyz
'x,y,z'
'-x,-y,z'
'-x,y,z'
'x,-y,z'
'x,y+1/2,z+1/2'
'-x,-y+1/2,z+1/2'
'-x,y+1/2,z+1/2'
'x,-y+1/2,z+1/2'
loop_
_atom_site_label
_atom_site_type_symbol
_atom_site_fract_x
_atom_site_fract_y
_atom_site_fract_z
Sc1 Sc 0.0000 0.0000 0.0000
Sc2 Sc 0.0000 0.0000 0.3258
Sc3 Sc 0.0000 0.0000 0.6616
Sc4 Sc 0.5000 0.0000 0.2122
Sc5 Sc 0.5000 0.0000 0.8775
Cd1 Cd 0.5000 0.0000 0.5487
```

---

Sorted by energy, starting with the most stable: iii, ii, i.

---

i.
DFT (PBE) results for a relaxed structure of Sc5Cd.

```
data_Sc5Cd
_cell_length_a 3.2679
_cell_length_b 3.2679
_cell_length_c 13.3469
_cell_angle_alpha 90.00
_cell_angle_beta 90.00
_cell_angle_gamma 90.00
_symmetry_space_group_name_H-M 'P 4/m m m'
_symmetry_Int_Tables_number 123
_symmetry_space_group_name_Hall '-P 4 2'
loop_
_atom_site_label
_atom_site_type_symbol
_atom_site_fract_x
_atom_site_fract_y
_atom_site_fract_z
Sc1 Sc 0.0000 0.0000 0.0000
Sc2 Sc 0.0000 0.0000 0.3432
Sc3 Sc 0.5000 0.5000 0.1722
Cd1 Cd 0.5000 0.5000 0.5000
```

---

ii.
DFT (PBE) results for a relaxed structure of Sc5Cd.

```
data_Sc5Cd
_cell_length_a 8.3616
_cell_length_b 8.3616
_cell_length_c 8.3616
_cell_angle_alpha 90.00
_cell_angle_beta 90.00
_cell_angle_gamma 90.00
_symmetry_space_group_name_H-M 'F -4 3 m'
_symmetry_Int_Tables_number 216
_symmetry_space_group_name_Hall 'F -4 2 3'
loop_
_atom_site_label
_atom_site_type_symbol
_atom_site_fract_x
_atom_site_fract_y
_atom_site_fract_z
Sc1 Sc 0.0000 0.0000 0.0000
Sc2 Sc 0.1260 0.1260 0.3740
Cd1 Cd 0.2500 0.2500 0.7500
```

---

iii.
DFT (PBE) results for a relaxed structure of Sc5Cd.

```
data_Sc5Cd
_cell_length_a 5.9082
_cell_length_b 5.9082
_cell_length_c 5.2552
_cell_angle_alpha 90.00
_cell_angle_beta 90.00
_cell_angle_gamma 120.00
_symmetry_space_group_name_H-M 'P 6/m m m'
_symmetry_Int_Tables_number 191
_symmetry_space_group_name_Hall '-P 6 2'
loop_
_atom_site_label
_atom_site_type_symbol
_atom_site_fract_x
_atom_site_fract_y
_atom_site_fract_z
Sc1 Sc 0.0000 0.5000 0.0000
Sc2 Sc 0.3333 0.6667 0.5000
Cd1 Cd 0.0000 0.0000 0.5000
```

---

Sorted by energy, starting with the most stable: i, ii, iii.

---

i.
DFT (PBE) results for a relaxed structure of Sc5Cd3.

```
data_Sc5Cd3
_cell_length_a 8.7626
_cell_length_b 8.7626
_cell_length_c 5.5391
_cell_angle_alpha 90.00
_cell_angle_beta 90.00
_cell_angle_gamma 120.00
_symmetry_space_group_name_H-M 'P 63/m c m'
_symmetry_Int_Tables_number 193
_symmetry_space_group_name_Hall '-P 6c 2'
loop_
_atom_site_label
_atom_site_type_symbol
_atom_site_fract_x
_atom_site_fract_y
_atom_site_fract_z
Sc1 Sc 0.0000 0.2302 0.2500
Sc2 Sc 0.3333 0.6667 0.0000
Cd1 Cd 0.0000 0.4015 0.7500
```

---

ii.
DFT (PBE) results for a relaxed structure of Sc5Cd3.

```
data_Sc5Cd3
_cell_length_a 8.1214
_cell_length_b 9.4913
_cell_length_c 4.7380
_cell_angle_alpha 90.00
_cell_angle_beta 90.00
_cell_angle_gamma 90.00
_symmetry_space_group_name_H-M 'C m m m'
_symmetry_Int_Tables_number 65
_symmetry_space_group_name_Hall '-C 2 2'
loop_
_atom_site_label
_atom_site_type_symbol
_atom_site_fract_x
_atom_site_fract_y
_atom_site_fract_z
Sc1 Sc 0.0000 0.0000 0.0000
Sc2 Sc 0.2312 0.5000 0.5000
Sc3 Sc 0.2500 0.2500 0.0000
Cd1 Cd 0.0000 0.2288 0.5000
Cd2 Cd 0.0000 0.5000 0.0000
```

---

iii.
DFT (PBE) results for a relaxed structure of Sc5Cd3.

```
data_Sc5Cd3
_cell_length_a 3.2986
_cell_length_b 3.2986
_cell_length_c 16.7990
_cell_angle_alpha 90.00
_cell_angle_beta 90.00
_cell_angle_gamma 90.00
_symmetry_space_group_name_H-M 'P 4/m m m'
_symmetry_Int_Tables_number 123
_symmetry_space_group_name_Hall '-P 4 2'
loop_
_atom_site_label
_atom_site_type_symbol
_atom_site_fract_x
_atom_site_fract_y
_atom_site_fract_z
Sc1 Sc 0.0000 0.0000 0.0000
Sc2 Sc 0.0000 0.0000 0.2435
Sc3 Sc 0.5000 0.5000 0.3777
Cd1 Cd 0.0000 0.0000 0.5000
Cd2 Cd 0.5000 0.5000 0.1210
```

---

Sorted by energy, starting with the most stable: iii, ii, i.

---

i.
DFT (PBE) results for a relaxed structure of ScCd8.

```
data_ScCd8
_cell_length_a 10.9479
_cell_length_b 10.9479
_cell_length_c 3.3860
_cell_angle_alpha 90.00
_cell_angle_beta 90.00
_cell_angle_gamma 90.00
_symmetry_space_group_name_H-M 'I 4/m m m'
_symmetry_Int_Tables_number 139
_symmetry_space_group_name_Hall '-I 4 2'
loop_
_atom_site_label
_atom_site_type_symbol
_atom_site_fract_x
_atom_site_fract_y
_atom_site_fract_z
Sc1 Sc 0.0000 0.0000 0.0000
Cd1 Cd 0.0000 0.3326 0.0000
Cd2 Cd 0.1657 0.1657 0.5000
```

---

ii.
DFT (PBE) results for a relaxed structure of ScCd8.

```
data_ScCd8
_cell_length_a 9.3650
_cell_length_b 9.3650
_cell_length_c 4.5112
_cell_angle_alpha 90.00
_cell_angle_beta 90.00
_cell_angle_gamma 90.00
_symmetry_space_group_name_H-M 'I 4/m m m'
_symmetry_Int_Tables_number 139
_symmetry_space_group_name_Hall '-I 4 2'
loop_
_atom_site_label
_atom_site_type_symbol
_atom_site_fract_x
_atom_site_fract_y
_atom_site_fract_z
Sc1 Sc 0.0000 0.0000 0.0000
Cd1 Cd 0.0000 0.3339 0.0000
Cd2 Cd 0.1667 0.1667 0.5000
```

---

Sorted by energy, starting with the most stable: ii, i.